PBE Ca5Si2Ag2, relaxed; size of the total moment = 0.000 μB per formula unit
1.0
7.273 0.000 2.640
0.000 7.759 0.000
0.889 0.000 8.887
Ag Ca Si
4 10 4
Cartesian
2.066 0.000 5.647
5.702 3.879 6.967
6.096 0.000 5.881
2.460 3.879 4.561
6.550 6.385 8.691
3.636 3.879 1.320
0.581 5.253 2.462
7.581 2.505 9.065
3.945 1.374 7.745
1.612 1.374 2.836
2.914 5.253 7.371
0.000 0.000 0.000
4.217 6.385 3.782
5.248 2.505 4.156
6.459 4.749 2.345
4.450 0.870 1.615
0.814 3.010 0.295
2.823 6.889 1.025



PBE Ca4SiAg2, relaxed; size of the total moment = 0.000 μB per formula unit
1.0
-3.441 0.305 3.811
0.503 -2.977 4.165
3.711 5.150 6.409
Si Ca Ag
1 4 2
Cartesian
0.000 0.000 0.000
-1.206 -0.441 9.360
2.173 3.540 8.621
1.979 2.920 5.025
-1.400 -1.061 5.764
0.217 0.650 3.615
0.556 1.829 10.770



PBE CaSi2Ag, relaxed; size of the total moment = 0.000 μB per formula unit
1.0
3.390 0.000 0.000
0.000 3.390 0.000
0.000 0.000 6.842
Si Ag Ca
2 1 1
Cartesian
0.000 0.000 0.462
1.695 1.695 1.468
0.000 0.000 3.100
1.695 1.695 5.233



Asked for volume across the records above, the calculation gives 483; 195; 79 Å³ per cell in order.
Asked for E_form (uncorrected) across the records above, the calculation gives -0.37; -0.29; 0.01 eV/atom in order.
Asked for total DFT energy (no corrections) across the records above, the calculation gives -3.318; -3.020; -3.910 eV per atom in order.